No. 1
# RbHf2TcMo | Alexandria via LeMat-Bulk | PBE | optimized geometry
data_RbHf2TcMo
_cell_length_a 5.0106
_cell_length_b 5.0106
_cell_length_c 5.4112
_cell_angle_alpha 90.00
_cell_angle_beta 90.00
_cell_angle_gamma 90.00
_symmetry_space_group_name_H-M 'P 1'
_symmetry_Int_Tables_number 1
_symmetry_space_group_name_Hall 'P 1'
loop_
_atom_site_label
_atom_site_type_symbol
_atom_site_fract_x
_atom_site_fract_y
_atom_site_fract_z
Rb1 Rb 0.0000 0.0000 0.0000
Hf1 Hf 0.0000 0.5000 0.5000
Hf2 Hf 0.5000 0.0000 0.5000
Tc1 Tc 0.5000 0.5000 0.0000
Mo1 Mo 0.0000 0.0000 0.5000
# N(E_F) (states/eV/f.u.): 4.76
# Energy (eV per cell): -32.7
# Crystal system: tetragonal
# Magnetization (μB per formula unit): 2.44
# ΔH_f (0 K) (meV per atom): 1883

=====

No. 2
# Ce8Ru3Pb2 | Alexandria via LeMat-Bulk | PBE | optimized geometry
data_Ce8Ru3Pb2
_cell_length_a 9.1531
_cell_length_b 9.1531
_cell_length_c 6.0901
_cell_angle_alpha 91.68
_cell_angle_beta 91.68
_cell_angle_gamma 43.26
_symmetry_space_group_name_H-M 'P 1'
_symmetry_Int_Tables_number 1
_symmetry_space_group_name_Hall 'P 1'
loop_
_atom_site_label
_atom_site_type_symbol
_atom_site_fract_x
_atom_site_fract_y
_atom_site_fract_z
Ce1 Ce 0.0836 0.0836 0.3810
Ce2 Ce 0.1143 0.6869 0.1091
Ce3 Ce 0.3131 0.8857 0.8909
Ce4 Ce 0.3412 0.3412 0.6566
Ce5 Ce 0.6588 0.6588 0.3434
Ce6 Ce 0.6869 0.1143 0.1091
Ce7 Ce 0.8857 0.3131 0.8909
Ce8 Ce 0.9164 0.9164 0.6190
Ru1 Ru 0.2998 0.7002 0.5000
Ru2 Ru 0.5000 0.5000 0.0000
Ru3 Ru 0.7002 0.2998 0.5000
Pb1 Pb 0.2506 0.2506 0.1686
Pb2 Pb 0.7494 0.7494 0.8314
# N(E_F) (states/eV/f.u.): 32.02
# Energy (eV per cell): -84.8
# Crystal system: monoclinic
# Magnetization (μB per formula unit): 3.80
# ΔH_f (0 K) (meV per atom): -159

=====

No. 3
# Co2RuCl | Alexandria via LeMat-Bulk | PBE | optimized geometry
data_Co2RuCl
_cell_length_a 2.7702
_cell_length_b 2.8775
_cell_length_c 7.0155
_cell_angle_alpha 90.00
_cell_angle_beta 90.00
_cell_angle_gamma 90.00
_symmetry_space_group_name_H-M 'P 1'
_symmetry_Int_Tables_number 1
_symmetry_space_group_name_Hall 'P 1'
loop_
_atom_site_label
_atom_site_type_symbol
_atom_site_fract_x
_atom_site_fract_y
_atom_site_fract_z
Co1 Co 0.0000 0.0000 0.2257
Co2 Co 0.0000 0.0000 0.7743
Ru1 Ru 0.5000 0.5000 0.0000
Cl1 Cl 0.5000 0.0000 0.5000
# N(E_F) (states/eV/f.u.): 6.13
# Energy (eV per cell): -23.9
# ΔE to the lowest computed polymorph (meV per atom): 0
# Crystal system: orthorhombic
# Magnetization (μB per formula unit): 3.18

=====

No. 4
# NaMgIn3 | Alexandria via LeMat-Bulk | PBE | optimized geometry
data_NaMgIn3
_cell_length_a 7.5943
_cell_length_b 7.5943
_cell_length_c 7.5943
_cell_angle_alpha 145.51
_cell_angle_beta 145.51
_cell_angle_gamma 49.58
_symmetry_space_group_name_H-M 'P 1'
_symmetry_Int_Tables_number 1
_symmetry_space_group_name_Hall 'P 1'
loop_
_atom_site_label
_atom_site_type_symbol
_atom_site_fract_x
_atom_site_fract_y
_atom_site_fract_z
Na1 Na 0.0000 0.0000 0.0000
Mg1 Mg 0.6218 0.6218 0.0000
In1 In 0.2657 0.7657 0.5000
In2 In 0.4158 0.4158 0.0000
In3 In 0.7657 0.2657 0.5000
# N(E_F) (states/eV/f.u.): 1.43
# Energy (eV per cell): -11.3
# ΔE to the lowest computed polymorph (meV per atom): 32
# Crystal system: tetragonal
# Magnetization (μB per formula unit): 0.00
# ΔH_f (0 K) (meV per atom): -39

=====

No. 5
# BaZr2Cd | Alexandria via LeMat-Bulk | PBE | optimized geometry
data_BaZr2Cd
_cell_length_a 3.2828
_cell_length_b 3.2828
_cell_length_c 10.1318
_cell_angle_alpha 90.00
_cell_angle_beta 90.00
_cell_angle_gamma 90.00
_symmetry_space_group_name_H-M 'P 1'
_symmetry_Int_Tables_number 1
_symmetry_space_group_name_Hall 'P 1'
loop_
_atom_site_label
_atom_site_type_symbol
_atom_site_fract_x
_atom_site_fract_y
_atom_site_fract_z
Ba1 Ba 0.0000 0.0000 0.0000
Zr1 Zr 0.5000 0.5000 0.2967
Zr2 Zr 0.5000 0.5000 0.7033
Cd1 Cd 0.0000 0.0000 0.5000
# N(E_F) (states/eV/f.u.): 7.82
# Energy (eV per cell): -18.5
# Crystal system: tetragonal
# Magnetization (μB per formula unit): 0.24
# ΔH_f (0 K) (meV per atom): 370

=====

No. 6
# CaAc3Pr12 | Alexandria via LeMat-Bulk | PBE | optimized geometry
data_CaAc3Pr12
_cell_length_a 5.3484
_cell_length_b 5.3484
_cell_length_c 21.2199
_cell_angle_alpha 90.00
_cell_angle_beta 90.00
_cell_angle_gamma 90.00
_symmetry_space_group_name_H-M 'P 1'
_symmetry_Int_Tables_number 1
_symmetry_space_group_name_Hall 'P 1'
loop_
_atom_site_label
_atom_site_type_symbol
_atom_site_fract_x
_atom_site_fract_y
_atom_site_fract_z
Ca1 Ca 0.0000 0.0000 0.0000
Ac1 Ac 0.0000 0.0000 0.2485
Ac2 Ac 0.0000 0.0000 0.5000
Ac3 Ac 0.0000 0.0000 0.7515
Pr1 Pr 0.0000 0.5000 0.1249
Pr2 Pr 0.0000 0.5000 0.3748
Pr3 Pr 0.0000 0.5000 0.6252
Pr4 Pr 0.0000 0.5000 0.8751
Pr5 Pr 0.5000 0.0000 0.1249
Pr6 Pr 0.5000 0.0000 0.3748
Pr7 Pr 0.5000 0.0000 0.6252
Pr8 Pr 0.5000 0.0000 0.8751
Pr9 Pr 0.5000 0.5000 0.0000
Pr10 Pr 0.5000 0.5000 0.2469
Pr11 Pr 0.5000 0.5000 0.5000
Pr12 Pr 0.5000 0.5000 0.7531
# N(E_F) (states/eV/f.u.): 26.27
# Energy (eV per cell): -71.2
# Crystal system: tetragonal
# Magnetization (μB per formula unit): 0.00
# ΔH_f (0 K) (meV per atom): 29

=====

No. 7
# Sr2GaN | Alexandria via LeMat-Bulk | PBE | optimized geometry
data_Sr2GaN
_cell_length_a 9.6378
_cell_length_b 9.6378
_cell_length_c 9.6378
_cell_angle_alpha 22.40
_cell_angle_beta 22.40
_cell_angle_gamma 22.40
_symmetry_space_group_name_H-M 'P 1'
_symmetry_Int_Tables_number 1
_symmetry_space_group_name_Hall 'P 1'
loop_
_atom_site_label
_atom_site_type_symbol
_atom_site_fract_x
_atom_site_fract_y
_atom_site_fract_z
Sr1 Sr 0.1173 0.1173 0.1173
Sr2 Sr 0.8827 0.8827 0.8827
Ga1 Ga 0.0000 0.0000 0.0000
N1 N 0.5000 0.5000 0.5000
# N(E_F) (states/eV/f.u.): 1.23
# Energy (eV per cell): -15.8
# Crystal system: trigonal
# Magnetization (μB per formula unit): 0.00

=====

No. 8
# Mn2PPt | Alexandria via LeMat-Bulk | PBE | optimized geometry
data_Mn2PPt
_cell_length_a 8.1147
_cell_length_b 8.1147
_cell_length_c 8.1147
_cell_angle_alpha 19.81
_cell_angle_beta 19.81
_cell_angle_gamma 19.81
_symmetry_space_group_name_H-M 'P 1'
_symmetry_Int_Tables_number 1
_symmetry_space_group_name_Hall 'P 1'
loop_
_atom_site_label
_atom_site_type_symbol
_atom_site_fract_x
_atom_site_fract_y
_atom_site_fract_z
Mn1 Mn 0.0000 0.0000 0.0000
Mn2 Mn 0.2503 0.2503 0.2503
P1 P 0.7331 0.7331 0.7331
Pt1 Pt 0.4939 0.4939 0.4939
# N(E_F) (states/eV/f.u.): 4.27
# Energy (eV per cell): -29.9
# Crystal system: trigonal
# Magnetization (μB per formula unit): 3.60
# ΔH_f (0 K) (meV per atom): -20

=====

No. 9
# NdNbSe2 | Alexandria via LeMat-Bulk | PBE | optimized geometry
data_NdNbSe2
_cell_length_a 9.5627
_cell_length_b 9.5627
_cell_length_c 9.5627
_cell_angle_alpha 21.25
_cell_angle_beta 21.25
_cell_angle_gamma 21.25
_symmetry_space_group_name_H-M 'P 1'
_symmetry_Int_Tables_number 1
_symmetry_space_group_name_Hall 'P 1'
loop_
_atom_site_label
_atom_site_type_symbol
_atom_site_fract_x
_atom_site_fract_y
_atom_site_fract_z
Nd1 Nd 0.0000 0.0000 0.0000
Nb1 Nb 0.5000 0.5000 0.5000
Se1 Se 0.1062 0.1062 0.1062
Se2 Se 0.8938 0.8938 0.8938
# N(E_F) (states/eV/f.u.): 3.81
# Energy (eV per cell): -24.4
# Crystal system: trigonal
# Magnetization (μB per formula unit): 0.43

=====

No. 10
# GdURh4 | Alexandria via LeMat-Bulk | PBE | optimized geometry
data_GdURh4
_cell_length_a 5.3292
_cell_length_b 5.3292
_cell_length_c 5.3292
_cell_angle_alpha 60.00
_cell_angle_beta 60.00
_cell_angle_gamma 60.00
_symmetry_space_group_name_H-M 'P 1'
_symmetry_Int_Tables_number 1
_symmetry_space_group_name_Hall 'P 1'
loop_
_atom_site_label
_atom_site_type_symbol
_atom_site_fract_x
_atom_site_fract_y
_atom_site_fract_z
Gd1 Gd 0.0000 0.0000 0.0000
U1 U 0.7500 0.7500 0.7500
Rh1 Rh 0.3751 0.3751 0.3751
Rh2 Rh 0.3751 0.3751 0.8748
Rh3 Rh 0.3751 0.8748 0.3751
Rh4 Rh 0.8748 0.3751 0.3751
# N(E_F) (states/eV/f.u.): 8.28
# Energy (eV per cell): -58.0
# Crystal system: cubic
# Magnetization (μB per formula unit): 9.07
# ΔH_f (0 K) (meV per atom): -544